The following is a PBE calculation of an optimized crystal structure of PrSmZnSn, from the Alexandria database.

Structure (POSCAR):
```
PrSmZnSn
1.0
5.3417 0.0000 0.0000
2.6709 4.6261 0.0000
2.6709 1.5420 4.3615
Pr Zn Sn Sm
1 1 1 1
Direct
0.0000 0.0000 0.0000
0.7500 0.7500 0.7500
0.2500 0.2500 0.2500
0.5000 0.5000 0.5000
```

Output
The calculated formation energy is -515 meV per atom.